Version A
The following is a DFT calculation (PBE) of an optimized crystal structure of CdHg4S5.

extended XYZ file:
```
20
Lattice="4.233 0.000 0.000 -2.116 3.665 0.000 0.000 0.000 34.525" Properties=species:S:1:pos:R:3 pbc="T T T"
Cd 0.000 0.000 0.000
Cd 0.000 0.000 6.852
Hg 0.000 0.000 13.738
Hg 0.000 0.000 20.678
Hg 0.000 0.000 27.618
Hg 0.000 2.444 3.408
Hg 0.000 2.444 10.265
Hg 0.000 2.444 17.208
Hg 0.000 2.444 24.147
Hg 0.000 2.444 31.084
S 0.000 0.000 4.272
S 0.000 0.000 11.137
S 0.000 0.000 18.075
S 0.000 0.000 25.011
S 0.000 0.000 31.940
S 0.000 2.444 0.806
S 0.000 2.444 7.664
S 0.000 2.444 14.606
S 0.000 2.444 21.543
S 0.000 2.444 28.477
```

Results
Its size of the total moment is 0.00 μB/atom.

=====

Version B
The following is a DFT calculation (PBE) of an optimized crystal structure of CdHg4S5.

extended XYZ file:
```
10
Lattice="-4.324 4.324 3.402 4.324 -4.324 3.402 4.324 4.324 -3.402" Properties=species:S:1:pos:R:3 pbc="T T T"
Cd 0.000 0.000 0.000
Hg 4.308 1.738 -0.059
Hg 2.587 -0.017 3.343
Hg 1.738 4.341 -0.059
Hg 0.017 2.587 3.343
S 2.531 -0.009 0.782
S 6.118 0.009 0.782
S 0.009 2.531 0.782
S 0.000 0.000 4.190
S -0.009 6.118 0.782
```

Results
Its size of the total moment is 0.00 μB/atom.

=====

Stability verdict: version A, ahead by 0.119 eV/atom

=====

Version A
The following is a DFT calculation (PBE) of an optimized crystal structure of Cd2HgS.

extended XYZ file:
```
8
Lattice="-3.730 3.730 3.545 3.730 -3.730 3.545 3.730 3.730 -3.545" Properties=species:S:1:pos:R:3 pbc="T T T"
Cd 5.596 1.604 -0.886
Cd 1.604 1.865 0.886
Cd -1.865 2.127 2.659
Cd 2.127 1.865 4.432
Hg 3.730 0.000 1.773
Hg 0.000 0.000 3.545
S 0.000 0.000 0.000
S 0.000 3.730 1.773
```

Results
Its size of the total moment is 0.00 μB/atom.

=====

Version B
The following is a DFT calculation (PBE) of an optimized crystal structure of Cd2HgS.

extended XYZ file:
```
4
Lattice="0.000 3.570 3.570 3.570 0.000 3.570 3.570 3.570 0.000" Properties=species:S:1:pos:R:3 pbc="T T T"
Cd 1.785 1.785 1.785
Cd 5.355 5.355 5.355
Hg 0.000 0.000 0.000
S 3.570 3.570 3.570
```

Results
Its size of the total moment is 0.00 μB/atom.

=====

Stability verdict: version A, ahead by 0.216 eV/atom

=====

Version A
The following is a DFT calculation (PBE) of an optimized crystal structure of CdHgS4.

extended XYZ file:
```
6
Lattice="-3.895 3.895 2.389 3.895 -3.895 2.389 3.895 3.895 -2.389" Properties=species:S:1:pos:R:3 pbc="T T T"
Cd 0.000 0.000 0.000
Hg 0.000 3.895 1.194
S 1.955 1.647 -0.586
S 2.248 -1.940 2.975
S 1.940 2.248 1.802
S 1.647 5.836 0.586
```

Results
Its size of the total moment is 0.00 μB/atom.

=====

Version B
The following is a DFT calculation (PBE) of an optimized crystal structure of CdHgS4.

extended XYZ file:
```
6
Lattice="-4.897 4.897 1.476 4.897 -4.897 1.476 4.897 4.897 -1.476" Properties=species:S:1:pos:R:3 pbc="T T T"
Cd 0.000 0.000 0.000
Hg 4.897 0.000 0.738
S 2.462 1.620 -0.283
S 3.277 -2.435 1.759
S 2.435 3.277 1.194
S 1.620 7.333 0.283
```

Results
Its size of the total moment is 0.00 μB/atom.

=====

Stability verdict: version A, ahead by 0.258 eV/atom

=====

Version A
The following is a DFT calculation (PBE) of an optimized crystal structure of CdHgS.

extended XYZ file:
```
3
Lattice="4.157 0.000 0.000 -2.078 3.600 0.000 0.000 0.000 5.852" Properties=species:S:1:pos:R:3 pbc="T T T"
Cd 0.000 0.000 0.000
Hg 0.000 2.400 3.359
S 2.078 1.200 0.703
```

Results
Its size of the total moment is 0.00 μB/atom.

=====

Version B
The following is a DFT calculation (PBE) of an optimized crystal structure of CdHgS.

extended XYZ file:
```
6
Lattice="2.169 1.252 11.424 -2.169 1.252 11.424 0.000 -2.504 11.424" Properties=species:S:1:pos:R:3 pbc="T T T"
Cd 0.000 0.000 4.501
Cd 0.000 0.000 29.771
Hg 0.000 0.000 12.521
Hg 0.000 0.000 21.752
S 0.000 0.000 7.314
S 0.000 0.000 26.958
```

Results
Its size of the total moment is 0.00 μB/atom.

=====

Stability verdict: version B, ahead by 0.077 eV/atom

=====

Version A
The following is a DFT calculation (PBE) of an optimized crystal structure of CdHgSb2.

extended XYZ file:
```
4
Lattice="0.000 3.764 3.764 3.764 0.000 3.764 3.764 3.764 0.000" Properties=species:S:1:pos:R:3 pbc="T T T"
Cd 0.000 0.000 0.000
Hg 5.647 5.647 5.647
Sb 1.882 1.882 1.882
Sb 3.764 3.764 3.764
```

Results
Its size of the total moment is 0.00 μB/atom.

=====

Version B
The following is a DFT calculation (PBE) of an optimized crystal structure of CdHgSb2.

extended XYZ file:
```
4
Lattice="1.893 -2.715 0.000 1.893 2.715 0.000 0.000 0.000 10.177" Properties=species:S:1:pos:R:3 pbc="T T T"
Cd 0.000 0.000 0.000
Hg 1.893 0.000 7.788
Sb 0.000 0.000 5.181
Sb 1.893 0.000 2.551
```

Results
Its size of the total moment is 0.00 μB/atom.

=====

Stability verdict: version B, ahead by 0.036 eV/atom

=====

Version A
The following is a DFT calculation (PBE) of an optimized crystal structure of CdHgSb2.

extended XYZ file:
```
8
Lattice="-3.279 3.279 6.485 3.279 -3.279 6.485 3.279 3.279 -6.485" Properties=species:S:1:pos:R:3 pbc="T T T"
Cd 0.000 0.000 0.000
Cd 0.000 3.279 3.242
Hg 3.279 0.000 3.242
Hg 0.000 0.000 6.485
Sb 1.639 -1.627 4.864
Sb 1.651 1.639 1.621
Sb 1.639 4.906 -1.621
Sb 1.627 1.639 8.106
```

Results
Its size of the total moment is 0.00 μB/atom.

=====

Version B
The following is a DFT calculation (PBE) of an optimized crystal structure of CdHgSb2.

extended XYZ file:
```
4
Lattice="3.458 0.000 0.000 0.000 3.458 0.000 0.000 0.000 8.815" Properties=species:S:1:pos:R:3 pbc="T T T"
Cd 0.000 0.000 0.000
Hg 0.000 0.000 4.407
Sb 1.729 1.729 2.061
Sb 1.729 1.729 6.754
```

Results
Its size of the total moment is 0.00 μB/atom.

=====

Stability verdict: version B, ahead by 0.025 eV/atom